An optimized crystal structure of Mn2FeSi. Source: Alexandria via LeMat-Bulk, functional GGA-PBE.

Output
Uncorrected formation energy   -0.21 eV/atom
Total magnetic moment   3.19 μB/f.u.

Unit cell a=3.942 b=3.942 c=2.834 alpha=90.00 beta=90.00 gamma=90.00
Last column: magnetic moment on the atom in μB.
Sites, in units of the cell vectors:
Fe  0.000  0.500  0.500  2.10
Mn  0.000  0.000  0.000  0.55
Mn  0.500  0.500  0.000  0.55
Si  0.500  0.000  0.500  -0.02